DFT (PBE) results for crystalline KMgZr2 at its relaxed geometry.

Results
DFT formation energy	0.85	eV/atom
final energy	-0.3014	Ry/atom
DOS at the Fermi energy	1.70	states/eV/atom

```
KMgZr2
1.0
-2.177 2.177 5.795
2.177 -2.177 5.795
2.177 2.177 -5.795
K Mg Zr
1 1 2
direct
0.000 0.000 0.000
0.500 0.500 0.000
0.250 0.750 0.500
0.750 0.250 0.500
```

DFT (PBE) results for crystalline Dy12Er7Tm at its relaxed geometry.

Results
DFT formation energy	0.33	eV/atom
final energy	-0.3126	Ry/atom
DOS at the Fermi energy	1.34	states/eV/atom

```
Dy12Er7Tm
1.0
9.222 5.325 2.203
-9.222 5.325 2.203
0.000 -10.649 2.203
Dy Er Tm
12 7 1
direct
0.004 0.215 0.426
0.215 0.426 0.004
0.230 0.753 0.295
0.247 0.705 0.770
0.295 0.230 0.753
0.426 0.004 0.215
0.574 0.996 0.785
0.705 0.770 0.247
0.753 0.295 0.230
0.770 0.247 0.705
0.785 0.574 0.996
0.996 0.785 0.574
0.000 0.000 0.000
0.127 0.430 0.291
0.291 0.127 0.430
0.430 0.291 0.127
0.570 0.709 0.873
0.709 0.873 0.570
0.873 0.570 0.709
0.500 0.500 0.500
```

DFT (PBE) results for crystalline Y2HoCo9 at its relaxed geometry.

Results
DFT formation energy	-0.17	eV/atom
final energy	-0.5115	Ry/atom
DOS at the Fermi energy	1.34	states/eV/atom

```
Y2HoCo9
1.0
2.488 1.437 8.125
-2.488 1.437 8.125
0.000 -2.873 8.125
Y Ho Co
2 1 9
direct
0.140 0.140 0.140
0.860 0.860 0.860
0.000 0.000 0.000
0.079 0.582 0.582
0.335 0.335 0.335
0.418 0.418 0.921
0.418 0.921 0.418
0.500 0.500 0.500
0.582 0.079 0.582
0.582 0.582 0.079
0.665 0.665 0.665
0.921 0.418 0.418
```

DFT (PBE) results for crystalline Be3SbIr at its relaxed geometry.

Results
final energy	-0.2405	Ry/atom
formation energy without anion corrections	7.8	eV per formula unit
DOS at the Fermi energy	0.03	states/eV/atom

```
Be3SbIr
1.0
4.434 0.000 0.000
0.000 4.434 0.000
0.000 0.000 4.434
Be Sb Ir
3 1 1
direct
0.000 0.000 0.500
0.000 0.500 0.000
0.500 0.000 0.000
0.000 0.000 0.000
0.500 0.500 0.500
```

DFT (PBE) results for crystalline TiIn2Rh5 at its relaxed geometry.

Results
DFT formation energy	-0.42	eV/atom
final energy	-0.4912	Ry/atom
DOS at the Fermi energy	0.78	states/eV/atom

```
TiIn2Rh5
1.0
-2.069 2.069 7.328
2.069 -2.069 7.328
2.069 2.069 -7.328
Ti In Rh
1 2 5
direct
0.000 0.000 0.000
0.249 0.249 0.000
0.751 0.751 0.000
0.119 0.619 0.500
0.381 0.881 0.500
0.500 0.500 0.000
0.619 0.119 0.500
0.881 0.381 0.500
```

DFT (PBE) results for crystalline Ca2Ge2SbPd5 at its relaxed geometry.

Results
final energy	-0.3657	Ry/atom
formation energy without anion corrections	-6.4	eV per formula unit
DOS at the Fermi energy	0.47	states/eV/atom

```
Ca2Ge2SbPd5
1.0
10.238 0.000 0.000
0.000 10.238 0.000
0.000 0.000 3.634
Ca Ge Sb Pd
4 4 2 10
direct
0.176 0.324 0.000
0.324 0.824 0.000
0.676 0.176 0.000
0.824 0.676 0.000
0.123 0.623 0.000
0.377 0.123 0.000
0.623 0.877 0.000
0.877 0.377 0.000
0.000 0.000 0.000
0.500 0.500 0.000
0.000 0.500 0.500
0.062 0.792 0.500
0.208 0.062 0.500
0.292 0.562 0.500
0.438 0.292 0.500
0.500 0.000 0.500
0.562 0.708 0.500
0.708 0.438 0.500
0.792 0.938 0.500
0.938 0.208 0.500
```

DFT (PBE) results for crystalline YTe2Rh at its relaxed geometry.

Results
final energy	-0.4168	Ry/atom
formation energy without anion corrections	-2.6	eV per formula unit
DOS at the Fermi energy	0.35	states/eV/atom

```
YTe2Rh
1.0
-1.959 2.358 5.158
1.959 -2.358 5.158
1.959 2.358 -5.158
Y Te Rh
1 2 1
direct
0.000 0.000 0.000
0.466 0.466 0.000
0.742 0.242 0.500
0.294 0.794 0.500
```

DFT (PBE) results for crystalline TbAlGaCu2 at its relaxed geometry.

Results
DFT formation energy	-0.40	eV/atom
final energy	-0.3172	Ry/atom
DOS at the Fermi energy	0.51	states/eV/atom

```
TbAlGaCu2
1.0
-1.921 2.035 5.557
1.921 -2.035 5.557
1.921 2.035 -5.557
Tb Al Ga Cu
1 1 1 2
direct
0.000 0.000 0.000
0.259 0.759 0.500
0.614 0.614 0.000
0.396 0.396 0.000
0.759 0.259 0.500
```

DFT (PBE) results for crystalline InCuSi3 at its relaxed geometry.

Results
final energy	-0.2912	Ry/atom
formation energy without anion corrections	3.3	eV per formula unit
DOS at the Fermi energy	0.33	states/eV/atom

```
InCuSi3
1.0
4.620 0.000 0.000
0.000 4.620 0.000
0.000 0.000 4.620
In Cu Si
1 1 3
direct
0.000 0.000 0.000
0.500 0.500 0.500
0.000 0.500 0.500
0.500 0.000 0.500
0.500 0.500 0.000
```

DFT (PBE) results for crystalline LaUCuO6 at its relaxed geometry.

Results
final energy	-0.5886	Ry/atom
formation energy without anion corrections	-22.0	eV per formula unit

```
LaUCuO6
1.0
5.340 0.000 0.000
-2.670 4.625 0.000
0.000 0.000 10.672
La U Cu O
2 2 2 12
direct
0.000 0.000 0.000
0.000 0.000 0.500
0.333 0.667 0.250
0.667 0.333 0.750
0.333 0.667 0.750
0.667 0.333 0.250
0.006 0.363 0.642
0.006 0.644 0.858
0.356 0.363 0.858
0.356 0.994 0.642
0.363 0.006 0.142
0.363 0.356 0.358
0.637 0.644 0.642
0.637 0.994 0.858
0.644 0.006 0.358
0.644 0.637 0.142
0.994 0.356 0.142
0.994 0.637 0.358
```

DFT (PBE) results for crystalline RbRe3F at its relaxed geometry.

Results
final energy	-0.2737	Ry/atom
formation energy without anion corrections	21.6	eV per formula unit
DOS at the Fermi energy	1.57	states/eV/atom

```
RbRe3F
1.0
4.766 0.000 0.000
0.000 4.766 0.000
0.000 0.000 4.766
Rb Re F
1 3 1
direct
0.000 0.000 0.000
0.000 0.000 0.500
0.000 0.500 0.000
0.500 0.000 0.000
0.500 0.500 0.500
```

DFT (PBE) results for crystalline Y2CrCd at its relaxed geometry.

Results
DFT formation energy	0.05	eV/atom
final energy	-0.4275	Ry/atom
DOS at the Fermi energy	0.94	states/eV/atom

```
Y2CrCd
1.0
6.033 -1.722 0.000
6.033 1.722 0.000
-4.092 0.000 9.190
Y Cr Cd
4 2 2
direct
0.113 0.113 0.210
0.115 0.115 0.662
0.885 0.885 0.338
0.887 0.887 0.790
0.317 0.317 0.530
0.683 0.683 0.470
0.358 0.358 0.050
0.642 0.642 0.950
```

DFT (PBE) results for crystalline Ac6Cd2Hg at its relaxed geometry.

Results
DFT formation energy	-0.23	eV/atom
final energy	-0.2357	Ry/atom
DOS at the Fermi energy	1.36	states/eV/atom

```
Ac6Cd2Hg
1.0
0.000 6.904 8.592
2.863 0.000 8.592
2.863 6.904 0.000
Ac Cd Hg
6 2 1
direct
0.146 0.854 0.146
0.185 0.484 0.516
0.484 0.185 0.815
0.516 0.815 0.185
0.815 0.516 0.484
0.854 0.146 0.854
0.169 0.169 0.831
0.831 0.831 0.169
0.500 0.500 0.500
```

DFT (PBE) results for crystalline Cd3AsRu at its relaxed geometry.

Results
DFT formation energy	1.12	eV/atom
final energy	-0.1625	Ry/atom
DOS at the Fermi energy	1.12	states/eV/atom

```
Cd3AsRu
1.0
5.117 0.000 0.000
0.000 5.117 0.000
0.000 0.000 5.117
Cd As Ru
3 1 1
direct
0.000 0.000 0.500
0.000 0.500 0.000
0.500 0.000 0.000
0.000 0.000 0.000
0.500 0.500 0.500
```

DFT (PBE) results for crystalline Tb8Sm2In at its relaxed geometry.

Results
DFT formation energy	-0.06	eV/atom
final energy	-0.3335	Ry/atom
DOS at the Fermi energy	1.32	states/eV/atom

```
Tb8Sm2In
1.0
9.034 -2.486 0.000
9.034 2.486 0.000
-2.101 0.000 7.639
Tb Sm In
8 2 1
direct
0.044 0.044 0.225
0.134 0.134 0.676
0.320 0.320 0.591
0.411 0.411 0.057
0.589 0.589 0.943
0.680 0.680 0.409
0.866 0.866 0.324
0.956 0.956 0.775
0.223 0.223 0.135
0.777 0.777 0.865
0.500 0.500 0.500
```

DFT (PBE) results for crystalline PdRhPb6 at its relaxed geometry.

Results
DFT formation energy	-0.01	eV/atom
final energy	-0.3202	Ry/atom
DOS at the Fermi energy	0.37	states/eV/atom

```
PdRhPb6
1.0
3.250 -5.703 0.000
3.250 5.703 0.000
-2.773 0.000 5.916
Pd Rh Pb
1 1 6
direct
0.000 0.000 0.000
0.500 0.500 0.500
0.060 0.448 0.253
0.251 0.251 0.745
0.448 0.060 0.253
0.552 0.940 0.747
0.749 0.749 0.255
0.940 0.552 0.747
```

DFT (PBE) results for crystalline NaYHf at its relaxed geometry.

Results
DFT formation energy	0.26	eV/atom
final energy	-0.4151	Ry/atom
DOS at the Fermi energy	1.02	states/eV/atom

```
NaYHf
1.0
5.776 0.000 0.000
0.000 3.331 0.000
-2.518 0.000 9.106
Na Y Hf
2 2 2
direct
0.237 0.000 0.466
0.763 0.500 0.534
0.347 0.502 0.846
0.653 0.002 0.154
0.135 0.502 0.127
0.865 0.002 0.873
```

DFT (PBE) results for crystalline MgCrCo2 at its relaxed geometry.

Results
DFT formation energy	0.38	eV/atom
final energy	-0.4393	Ry/atom
DOS at the Fermi energy	1.57	states/eV/atom

```
MgCrCo2
1.0
0.000 2.988 2.988
2.988 0.000 2.988
2.988 2.988 0.000
Mg Cr Co
1 1 2
direct
0.000 0.000 0.000
0.750 0.750 0.750
0.250 0.250 0.250
0.500 0.500 0.500
```

DFT (PBE) results for crystalline YCd2Cl at its relaxed geometry.

Results
final energy	-0.2287	Ry/atom
formation energy without anion corrections	-2.3	eV per formula unit
DOS at the Fermi energy	0.49	states/eV/atom

```
YCd2Cl
1.0
1.966 -2.836 0.000
1.966 2.836 0.000
0.000 0.000 10.065
Y Cd Cl
1 2 1
direct
0.000 0.000 0.000
0.000 0.000 0.536
0.500 0.500 0.760
0.500 0.500 0.187
```

DFT (PBE) results for crystalline Dy2Er2Te7 at its relaxed geometry.

Results
final energy	-0.3564	Ry/atom
formation energy without anion corrections	-13.0	eV per formula unit
DOS at the Fermi energy	0.48	states/eV/atom

```
Dy2Er2Te7
1.0
-2.104 7.919 4.908
2.104 -7.919 4.908
2.104 7.919 -4.908
Dy Er Te
2 2 7
direct
0.242 0.000 0.242
0.758 0.000 0.758
0.327 0.827 0.500
0.774 0.774 0.000
0.024 0.701 0.324
0.093 0.093 0.000
0.377 0.701 0.676
0.390 0.499 0.891
0.608 0.499 0.109
0.672 0.314 0.358
0.956 0.314 0.642
```

DFT (PBE) results for crystalline CdAg4 at its relaxed geometry.

Results
DFT formation energy	-0.01	eV/atom
final energy	-0.1819	Ry/atom
DOS at the Fermi energy	0.18	states/eV/atom

```
CdAg4
1.0
4.917 -1.564 0.000
4.917 1.564 0.000
-3.962 0.000 6.000
Cd Ag
1 4
direct
0.000 0.000 0.000
0.197 0.197 0.797
0.399 0.399 0.596
0.601 0.601 0.404
0.803 0.803 0.203
```

DFT (PBE) results for crystalline K3TaRe at its relaxed geometry.

Results
DFT formation energy	3.25	eV/atom
final energy	-0.1667	Ry/atom
DOS at the Fermi energy	5.77	states/eV/atom

```
K3TaRe
1.0
6.093 0.000 0.000
0.000 6.093 0.000
0.000 0.000 6.093
K Ta Re
3 1 1
direct
0.000 0.000 0.500
0.000 0.500 0.000
0.500 0.000 0.000
0.000 0.000 0.000
0.500 0.500 0.500
```

DFT (PBE) results for crystalline CeMnSi2Tc at its relaxed geometry.

Results
final energy	-0.5789	Ry/atom
formation energy without anion corrections	-3.1	eV per formula unit
DOS at the Fermi energy	1.06	states/eV/atom

```
CeMnSi2Tc
1.0
-2.029 2.029 5.176
2.029 -2.029 5.176
2.029 2.029 -5.176
Ce Mn Si Tc
1 1 2 1
direct
0.000 0.000 0.000
0.250 0.750 0.500
0.379 0.379 0.000
0.621 0.621 0.000
0.750 0.250 0.500
```

DFT (PBE) results for crystalline LiPr2Cu4Ge3 at its relaxed geometry.

Results
DFT formation energy	-0.48	eV/atom
final energy	-0.3415	Ry/atom
DOS at the Fermi energy	0.44	states/eV/atom

```
LiPr2Cu4Ge3
1.0
4.268 0.000 0.000
0.000 4.268 0.000
0.000 0.000 9.807
Li Pr Cu Ge
1 2 4 3
direct
0.000 0.000 0.000
0.000 0.500 0.742
0.500 0.000 0.258
0.000 0.000 0.500
0.000 0.500 0.121
0.500 0.000 0.879
0.500 0.500 0.500
0.000 0.500 0.366
0.500 0.000 0.634
0.500 0.500 0.000
```